# 1
DFT (GGA-PBE) results for a relaxed ZrTc2Ni crystal.

Polymorph energy (0 for the lowest one) = 0 meV per atom
E_form = -0.098 eV per atom

The structure in extended XYZ format:
```
4
Lattice="-3.135 -0.481 0.724 0.868 -1.632 2.676 -0.059 5.003 3.071" Properties=species:S:1:pos:R:3 pbc="T T T"
Ni -1.178 2.735 4.027
Tc 0.000 0.020 0.012
Tc -1.146 0.034 2.369
Zr -0.031 2.602 1.597
```

# 2
DFT (GGA-PBE) results for a relaxed ZrTc2Ni crystal.

Polymorph energy (0 for the lowest one) = 403 meV per atom
E_form = 0.305 eV per atom

The structure in extended XYZ format:
```
4
Lattice="-5.667 -0.321 7.542 -3.814 -2.223 8.343 -3.333 0.467 8.818" Properties=species:S:1:pos:R:3 pbc="T T T"
Zr -3.203 -0.519 6.176
Ni -9.610 -1.557 18.527
Tc -0.127 -0.021 0.245
Tc -6.280 -1.017 12.107
```

# 3
DFT (GGA-PBE) results for a relaxed Zr3TcNi2 crystal.

E_form = -0.377 eV per atom

The structure in extended XYZ format:
```
6
Lattice="3.279 0.000 0.000 0.000 4.357 -1.443 0.000 -0.033 7.201" Properties=species:S:1:pos:R:3 pbc="T T T"
Zr 1.640 2.179 -0.721
Zr 1.640 0.717 2.167
Zr 1.640 3.607 3.592
Tc 0.000 0.000 0.000
Ni 0.000 2.884 1.411
Ni 0.000 1.439 4.348
```

# 4
DFT (GGA-PBE) results for a relaxed ZrTc3Ni crystal.

Polymorph energy (0 for the lowest one) = 0 meV per atom
E_form = 0.976 eV per atom

The structure in extended XYZ format:
```
5
Lattice="-1.569 0.532 -4.139 1.969 -3.804 -1.236 -3.679 -2.262 1.104" Properties=species:S:1:pos:R:3 pbc="T T T"
Tc -0.785 0.266 -2.069
Tc -1.840 -1.131 0.552
Tc 0.984 -1.902 -0.618
Ni 0.000 0.000 0.000
Zr -1.640 -2.767 -2.135
```

Summary of total magnetic moment in μB/cell
0.000, 0.000, 0.000, 2.009
(order as listed above)